Entry 1:
A relaxed structure of ReIr2PtRh, computed with GGA-PBEsol.

Cell lengths 4.5141, 4.5141, 4.7367 Å; angles 90.00, 90.00, 90.00 degrees
Sites, in units of the cell vectors:
Pt 0.0000 0.0000 0.5000
Ir 0.5000 0.0000 0.0000
Ir 0.0000 0.5000 0.0000
Rh 0.0000 0.0000 0.0000
Re 0.5000 0.5000 0.5000

***

Entry 2:
A relaxed structure of MnZnCo2, computed with GGA-PBEsol.

Cell lengths 2.9162, 3.8907, 3.8907 Å; angles 90.03, 90.00, 90.00 degrees
Sites, in units of the cell vectors:
Mn 0.5000 0.0000 0.0000
Zn 0.5000 0.5000 0.5000
Co 0.0000 0.5000 0.0000
Co 0.0000 0.0000 0.5000

***

| no. | ρ (g/cm³) | DFT total energy (eV/atom) |
| --- | --- | --- |
| 1 | 14.94 | -7.136 |
| 2 | 8.96 | -6.653 |